VASP calculation (GGA+U) on a relaxed CrHO2F crystal.

Cell and atoms, written as POSCAR:
```
CrHO2F
1.0
3.7268 0.0000 0.0000
0.0000 3.7268 0.0000
0.0000 0.0000 2.7921
Cr H O F
1 1 2 1
direct
0.5000 0.5000 0.5000
0.0000 0.0000 0.0000
0.0000 0.5000 0.0000
0.5000 0.0000 0.0000
0.0000 0.0000 0.5000
```

Computed properties:
ρ: 4.5 g/cm3
Space group: P4/mmm (123)
DFT total energy: -4.828 eV per atom
Volume: 7.756 A^3/atom